# 1
## FeAg2 (meta-GGA SCAN)

Data for a PBEsol-optimized structure of FeAg2.

a = 2.7498 Å, b = 2.7498 Å, c = 6.8630 Å
α = 90.00°, β = 90.00°, γ = 120.00°
Element x y z (fractional)
1 Fe 0.0000 0.0000 0.0000
2 Ag 0.3333 0.6667 0.6771
3 Ag 0.6667 0.3333 0.3229

Magnetic moment   1.01 μB per atom
Calculated density   10.03 Mg/m³
Formation energy   0.263 eV/atom
Symmetry   P-3m1, No. 164

---

# 2
## YCo2B4Rh2 (meta-GGA SCAN)

Data for a PBEsol-optimized structure of YCo2B4Rh2.

a = 5.1486 Å, b = 5.1486 Å, c = 7.1237 Å
α = 90.00°, β = 90.00°, γ = 90.00°
Element x y z (fractional)
1 Y 0.0000 0.5000 0.0000
2 Y 0.5000 0.0000 0.5000
3 Co 0.0000 0.2516 0.3525
4 Co 0.0000 0.7484 0.3525
5 Co 0.2516 0.0000 0.8525
6 Co 0.7484 0.0000 0.8525
7 B 0.0000 0.1657 0.6498
8 B 0.0000 0.8343 0.6498
9 B 0.1657 0.0000 0.1498
10 B 0.3151 0.5000 0.3365
11 B 0.5000 0.3151 0.8365
12 B 0.5000 0.6849 0.8365
13 B 0.6849 0.5000 0.3365
14 B 0.8343 0.0000 0.1498
15 Rh 0.2471 0.5000 0.6333
16 Rh 0.5000 0.2471 0.1333
17 Rh 0.5000 0.7529 0.1333
18 Rh 0.7529 0.5000 0.6333

Magnetic moment   0.00 μB per atom
Calculated density   8.02 Mg/m³
Formation energy   -0.517 eV/atom
Symmetry   P4_2mc, No. 105

---

# 3
## MgMo3H (meta-GGA SCAN)

Data for a PBEsol-optimized structure of MgMo3H.

a = 4.0236 Å, b = 4.0236 Å, c = 4.0236 Å
α = 90.00°, β = 90.00°, γ = 90.00°
Element x y z (fractional)
1 Mg 0.0000 0.0000 0.0000
2 Mo 0.0000 0.5000 0.5000
3 Mo 0.5000 0.0000 0.5000
4 Mo 0.5000 0.5000 0.0000
5 H 0.5000 0.5000 0.5000

Magnetic moment   0.00 μB per atom
Calculated density   7.98 Mg/m³
DFT total energy   -111.368 eV/cell
Symmetry   Pm-3m, No. 221

---

# 4
## Fe3Re (meta-GGA SCAN)

Data for a PBEsol-optimized structure of Fe3Re.

a = 2.8174 Å, b = 2.8174 Å, c = 5.9189 Å
α = 90.00°, β = 90.00°, γ = 90.00°
Element x y z (fractional)
1 Fe 0.0000 0.0000 0.0000
2 Fe 0.5000 0.5000 0.2325
3 Fe 0.5000 0.5000 0.7675
4 Re 0.0000 0.0000 0.5000

Magnetic moment   1.78 μB per atom
Calculated density   12.50 Mg/m³
Formation energy   -0.026 eV/atom
Symmetry   P4/mmm, No. 123

---

- Which value of magnetic moment does entry 4 give?
  1.78 μB per atom

---

- What is the formula in the third record?
  MgMo3H

---

- Which of these has the lowest calculated density?
  MgMo3H